Record 1
{
  "formula": "LiLuGaFe",
  "functional": "PBE",
  "state": "optimized geometry",
  "magmom_total_mub_per_atom": 0.64,
  "sg": "F-43m",
  "energy_ev_per_atom": -4.516,
  "lattice_angstrom": [[6.4371, 0.0000, 0.0000], [0.0000, 6.4371, 0.0000], [0.0000, 0.0000, 6.4371]],
  "species": ["Li", "Li", "Li", "Li", "Lu", "Lu", "Lu", "Lu", "Ga", "Ga", "Ga", "Ga", "Fe", "Fe", "Fe", "Fe"],
  "frac_coords": [[0.0000, 0.0000, 0.0000], [0.0000, 0.5000, 0.5000], [0.5000, 0.0000, 0.5000], [0.5000, 0.5000, 0.0000], [0.2500, 0.2500, 0.2500], [0.2500, 0.7500, 0.7500], [0.7500, 0.2500, 0.7500], [0.7500, 0.7500, 0.2500], [0.0000, 0.0000, 0.5000], [0.0000, 0.5000, 0.0000], [0.5000, 0.0000, 0.0000], [0.5000, 0.5000, 0.5000], [0.2500, 0.2500, 0.7500], [0.2500, 0.7500, 0.2500], [0.7500, 0.2500, 0.2500], [0.7500, 0.7500, 0.7500]]
}



Record 2
{
  "formula": "ScTlCoAu",
  "functional": "PBE",
  "state": "optimized geometry",
  "magmom_total_mub_per_atom": 0.32,
  "sg": "F-43m",
  "energy_ev_per_atom": -4.881,
  "lattice_angstrom": [[6.5972, 0.0000, 0.0000], [0.0000, 6.5972, 0.0000], [0.0000, 0.0000, 6.5972]],
  "species": ["Sc", "Sc", "Sc", "Sc", "Tl", "Tl", "Tl", "Tl", "Co", "Co", "Co", "Co", "Au", "Au", "Au", "Au"],
  "frac_coords": [[0.0000, 0.0000, 0.0000], [0.0000, 0.5000, 0.5000], [0.5000, 0.0000, 0.5000], [0.5000, 0.5000, 0.0000], [0.0000, 0.0000, 0.5000], [0.0000, 0.5000, 0.0000], [0.5000, 0.0000, 0.0000], [0.5000, 0.5000, 0.5000], [0.2500, 0.2500, 0.7500], [0.2500, 0.7500, 0.2500], [0.7500, 0.2500, 0.2500], [0.7500, 0.7500, 0.7500], [0.2500, 0.2500, 0.2500], [0.2500, 0.7500, 0.7500], [0.7500, 0.2500, 0.7500], [0.7500, 0.7500, 0.2500]]
}



Record 3
{
  "formula": "MgScHg2",
  "functional": "PBE",
  "state": "optimized geometry",
  "magmom_total_mub_per_atom": 0.00,
  "sg": "Cmcm",
  "energy_ev_per_atom": -2.473,
  "lattice_angstrom": [[6.7614, 0.0000, 0.0000], [0.0000, 10.1563, 0.0000], [0.0000, 0.0000, 4.8850]],
  "species": ["Mg", "Mg", "Mg", "Mg", "Sc", "Sc", "Sc", "Sc", "Hg", "Hg", "Hg", "Hg", "Hg", "Hg", "Hg", "Hg"],
  "frac_coords": [[0.0000, 0.1384, 0.2500], [0.0000, 0.8616, 0.7500], [0.5000, 0.3616, 0.7500], [0.5000, 0.6384, 0.2500], [0.0000, 0.3629, 0.7500], [0.0000, 0.6371, 0.2500], [0.5000, 0.1371, 0.2500], [0.5000, 0.8629, 0.7500], [0.2461, 0.1125, 0.7500], [0.2461, 0.8875, 0.2500], [0.2539, 0.3875, 0.2500], [0.2539, 0.6125, 0.7500], [0.7461, 0.3875, 0.2500], [0.7461, 0.6125, 0.7500], [0.7539, 0.1125, 0.7500], [0.7539, 0.8875, 0.2500]]
}